VASP calculation (GGA-PBE) on MgScFe after structural relaxation.

POSCAR file:
```
MgScFe
1.0
4.573 0.000 0.000
-2.287 3.961 0.000
0.000 0.000 2.939
Sc Mg Fe
1 1 1
direct
0.333 0.667 0.680 Sc
0.667 0.333 0.242 Mg
0.000 0.000 0.079 Fe
```

Results
* electronic total energy: -5.26 eV per atom
* formation enthalpy at 0 K: 0.20 eV per atom